First-principles (SCAN) data for V6CoNi at its PBEsol-relaxed geometry, as listed in Alexandria via LeMat-Bulk.

POSCAR file:
```
V6CoNi
1.0
4.5961 0.0000 0.0000
0.0000 4.5961 0.0000
0.0000 0.0000 4.5961
V Co Ni
6 1 1
Direct
0.0000 0.2486 0.5000
0.0000 0.7514 0.5000
0.2486 0.5000 0.0000
0.5000 0.0000 0.2486
0.5000 0.0000 0.7514
0.7514 0.5000 0.0000
0.0000 0.0000 0.0000
0.5000 0.5000 0.5000
```

Results
DOS(E_F): 0.822 states/eV per atom
ΔE_f: -194 meV/atom
Magnetization: 0.00 μB per formula unit
Space-group type: Pm-3 (200)
DFT total energy: -17.49 eV per atom

---

First-principles (SCAN) data for CoNi2W at its PBEsol-relaxed geometry, as listed in Alexandria via LeMat-Bulk.

POSCAR file:
```
CoNi2W
1.0
0.0000 2.8492 2.8492
2.8492 0.0000 2.8492
2.8492 2.8492 0.0000
Co Ni W
1 2 1
Direct
0.0000 0.0000 0.0000
0.2500 0.2500 0.2500
0.7500 0.7500 0.7500
0.5000 0.5000 0.5000
```

Results
DOS(E_F): 1.080 states/eV per atom
ΔE_f: 236 meV/atom
Magnetization: 1.51 μB per formula unit
Space-group type: Fm-3m (225)
Relative energy among the computed polymorphs: 86 kJ/mol of formula units
DFT total energy: -29.60 eV per atom

---

First-principles (SCAN) data for CoNiW at its PBEsol-relaxed geometry, as listed in Alexandria via LeMat-Bulk.

POSCAR file:
```
CoNiW
1.0
4.0510 0.0000 0.0000
-2.0255 3.5083 0.0000
0.0000 0.0000 2.5372
Co Ni W
1 1 1
Direct
0.0000 0.0000 0.0000
0.6667 0.3333 0.3159
0.3333 0.6667 0.6915
```

Results
DOS(E_F): 0.953 states/eV per atom
ΔE_f: 226 meV/atom
Magnetization: 0.00 μB per formula unit
Space-group type: P3m1 (156)
Relative energy among the computed polymorphs: 41 kJ/mol of formula units
DFT total energy: -34.16 eV per atom

---

First-principles (SCAN) data for CoNi2W at its PBEsol-relaxed geometry, as listed in Alexandria via LeMat-Bulk.

POSCAR file:
```
CoNi2W
1.0
-1.7876 1.7876 3.5658
1.7876 -1.7876 3.5658
1.7876 1.7876 -3.5658
Co Ni W
1 2 1
Direct
0.0000 0.0000 0.0000
0.5000 0.5000 0.0000
0.7500 0.2500 0.5000
0.2500 0.7500 0.5000
```

Results
DOS(E_F): 0.583 states/eV per atom
ΔE_f: 14 meV/atom
Magnetization: 0.31 μB per formula unit
Space-group type: I-4m2 (119)
Relative energy among the computed polymorphs: 0 kJ/mol of formula units
DFT total energy: -29.82 eV per atom

---

First-principles (SCAN) data for CoNiW at its PBEsol-relaxed geometry, as listed in Alexandria via LeMat-Bulk.

POSCAR file:
```
CoNiW
1.0
-1.3132 1.7717 3.8380
1.3132 -1.7717 3.8380
1.3132 1.7717 -3.8380
Co Ni W
1 1 1
Direct
0.0000 0.0000 0.0000
0.6608 0.6608 0.0000
0.3319 0.3319 0.0000
```

Results
DOS(E_F): 0.812 states/eV per atom
ΔE_f: 84 meV/atom
Magnetization: 0.52 μB per formula unit
Space-group type: Imm2 (44)
Relative energy among the computed polymorphs: 0 kJ/mol of formula units
DFT total energy: -34.30 eV per atom

---

First-principles (SCAN) data for CoNi2W at its PBEsol-relaxed geometry, as listed in Alexandria via LeMat-Bulk.

POSCAR file:
```
CoNi2W
1.0
-1.7488 1.7488 3.7223
1.7488 -1.7488 3.7223
1.7488 1.7488 -3.7223
Co Ni W
1 2 1
Direct
0.0000 0.0000 0.0000
0.2500 0.7500 0.5000
0.7500 0.2500 0.5000
0.5000 0.5000 0.0000
```

Results
DOS(E_F): 0.868 states/eV per atom
ΔE_f: 40 meV/atom
Magnetization: 0.11 μB per formula unit
Space-group type: I4/mmm (139)
Relative energy among the computed polymorphs: 10 kJ/mol of formula units
DFT total energy: -29.80 eV per atom

---

First-principles (SCAN) data for YCoNi at its PBEsol-relaxed geometry, as listed in Alexandria via LeMat-Bulk.

POSCAR file:
```
YCoNi
1.0
-2.4400 2.5010 3.5839
2.4400 -2.5010 3.5839
2.4400 2.5010 -3.5839
Y Co Ni
2 2 2
Direct
0.3726 0.1226 0.2500
0.6274 0.8774 0.7500
0.0000 0.0000 0.5000
0.0000 0.5000 0.0000
0.0000 0.5000 0.5000
0.5000 0.5000 0.0000
```

Results
DOS(E_F): 0.623 states/eV per atom
ΔE_f: -241 meV/atom
Magnetization: 1.03 μB per formula unit
Space-group type: Imma (74)
Relative energy among the computed polymorphs: 0 kJ/mol of formula units
DFT total energy: -20.68 eV per atom

---

First-principles (SCAN) data for YCoNi at its PBEsol-relaxed geometry, as listed in Alexandria via LeMat-Bulk.

POSCAR file:
```
YCoNi
1.0
3.8637 0.0000 0.0000
-1.9318 3.3460 0.0000
0.0000 0.0000 3.7868
Y Co Ni
1 1 1
Direct
0.0000 0.0000 0.0000
0.6667 0.3333 0.5000
0.3333 0.6667 0.5000
```

Results
DOS(E_F): 0.452 states/eV per atom
ΔE_f: -171 meV/atom
Magnetization: 0.23 μB per formula unit
Space-group type: P-6m2 (187)
Relative energy among the computed polymorphs: 20 kJ/mol of formula units
DFT total energy: -20.61 eV per atom

---

First-principles (SCAN) data for YCoNi2 at its PBEsol-relaxed geometry, as listed in Alexandria via LeMat-Bulk.

POSCAR file:
```
YCoNi2
1.0
-1.9127 1.9127 3.7668
1.9127 -1.9127 3.7668
1.9127 1.9127 -3.7668
Y Co Ni
1 1 2
Direct
0.0000 0.0000 0.0000
0.7500 0.2500 0.5000
0.2500 0.7500 0.5000
0.5000 0.5000 0.0000
```

Results
DOS(E_F): 0.580 states/eV per atom
ΔE_f: 12 meV/atom
Magnetization: 2.03 μB per formula unit
Space-group type: I-4m2 (119)
Relative energy among the computed polymorphs: 0 kJ/mol of formula units
DFT total energy: -19.36 eV per atom

---

First-principles (SCAN) data for YCoNi2 at its PBEsol-relaxed geometry, as listed in Alexandria via LeMat-Bulk.

POSCAR file:
```
YCoNi2
1.0
-1.9159 1.9159 3.7579
1.9159 -1.9159 3.7579
1.9159 1.9159 -3.7579
Y Co Ni
1 1 2
Direct
0.0000 0.0000 0.0000
0.5000 0.5000 0.0000
0.2500 0.7500 0.5000
0.7500 0.2500 0.5000
```

Results
DOS(E_F): 0.675 states/eV per atom
ΔE_f: 35 meV/atom
Magnetization: 1.96 μB per formula unit
Space-group type: I4/mmm (139)
Relative energy among the computed polymorphs: 9 kJ/mol of formula units
DFT total energy: -19.34 eV per atom

---

First-principles (SCAN) data for YCo3Ni2 at its PBEsol-relaxed geometry, as listed in Alexandria via LeMat-Bulk.

POSCAR file:
```
YCo3Ni2
1.0
4.7777 0.0000 0.0000
-2.3889 4.1376 0.0000
0.0000 0.0000 3.9570
Y Co Ni
1 3 2
Direct
0.0000 0.0000 0.0000
0.0000 0.5000 0.5000
0.5000 0.0000 0.5000
0.5000 0.5000 0.5000
0.3333 0.6667 0.0000
0.6667 0.3333 0.0000
```

Results
DOS(E_F): 0.942 states/eV per atom
ΔE_f: -156 meV/atom
Magnetization: 5.55 μB per formula unit
Space-group type: P6/mmm (191)
DFT total energy: -18.84 eV per atom

---

First-principles (SCAN) data for Zn2CoNi at its PBEsol-relaxed geometry, as listed in Alexandria via LeMat-Bulk.

POSCAR file:
```
Zn2CoNi
1.0
2.8383 0.0000 0.0000
0.0000 2.8383 0.0000
0.0000 0.0000 5.6480
Zn Co Ni
2 1 1
Direct
0.0000 0.0000 0.2476
0.0000 0.0000 0.7524
0.5000 0.5000 0.0000
0.5000 0.5000 0.5000
```

Results
DOS(E_F): 0.309 states/eV per atom
ΔE_f: -96 meV/atom
Magnetization: 1.56 μB per formula unit
Space-group type: P4/mmm (123)
DFT total energy: -15.22 eV per atom

---

First-principles (SCAN) data for ZnCoNi2 at its PBEsol-relaxed geometry, as listed in Alexandria via LeMat-Bulk.

POSCAR file:
```
ZnCoNi2
1.0
4.1217 -1.2458 0.0000
4.1217 1.2458 0.0000
-0.7501 0.0000 4.2446
Zn Co Ni
1 1 2
Direct
0.0000 0.0000 0.0000
0.7541 0.7541 0.2762
0.2479 0.2479 0.7604
0.4993 0.4993 0.4977
```

Results
DOS(E_F): 0.754 states/eV per atom
ΔE_f: -23 meV/atom
Magnetization: 2.74 μB per formula unit
Space-group type: Cm (8)
DFT total energy: -15.81 eV per atom

---

First-principles (SCAN) data for Zn2CoNi at its PBEsol-relaxed geometry, as listed in Alexandria via LeMat-Bulk.

POSCAR file:
```
Zn2CoNi
1.0
0.0000 2.8512 2.8512
2.8512 0.0000 2.8512
2.8512 2.8512 0.0000
Zn Co Ni
2 1 1
Direct
0.0000 0.0000 0.0000
0.2500 0.2500 0.2500
0.7500 0.7500 0.7500
0.5000 0.5000 0.5000
```

Results
DOS(E_F): 0.544 states/eV per atom
ΔE_f: -47 meV/atom
Magnetization: 2.09 μB per formula unit
Space-group type: F-43m (216)
DFT total energy: -15.17 eV per atom

---

First-principles (SCAN) data for ZnCoNi2 at its PBEsol-relaxed geometry, as listed in Alexandria via LeMat-Bulk.

POSCAR file:
```
ZnCoNi2
1.0
2.5099 0.0000 0.0000
0.0000 2.5099 0.0000
0.0000 0.0000 6.9397
Zn Co Ni
1 1 2
Direct
0.0000 0.0000 0.0000
0.5000 0.5000 0.2653
0.0000 0.0000 0.4992
0.5000 0.5000 0.7443
```

Results
DOS(E_F): 0.675 states/eV per atom
ΔE_f: -21 meV/atom
Magnetization: 2.67 μB per formula unit
Space-group type: P4mm (99)
DFT total energy: -15.81 eV per atom

---

First-principles (SCAN) data for ZnCoNi2 at its PBEsol-relaxed geometry, as listed in Alexandria via LeMat-Bulk.

POSCAR file:
```
ZnCoNi2
1.0
2.5161 0.0000 0.0000
0.0000 2.5161 0.0000
0.0000 0.0000 6.9083
Zn Co Ni
1 1 2
Direct
0.0000 0.0000 0.0000
0.0000 0.0000 0.5000
0.5000 0.5000 0.2603
0.5000 0.5000 0.7397
```

Results
DOS(E_F): 0.578 states/eV per atom
ΔE_f: -76 meV/atom
Magnetization: 2.87 μB per formula unit
Space-group type: P4/mmm (123)
DFT total energy: -15.87 eV per atom

---

First-principles (SCAN) data for ZnCoNi2 at its PBEsol-relaxed geometry, as listed in Alexandria via LeMat-Bulk.

POSCAR file:
```
ZnCoNi2
1.0
2.4966 0.0000 0.0000
0.0000 4.0659 0.0000
0.0000 0.0000 4.2971
Zn Co Ni
1 1 2
Direct
0.0000 0.0000 0.0000
0.0000 0.5000 0.6497
0.5000 0.0000 0.5003
0.5000 0.5000 0.1591
```

Results
DOS(E_F): 0.616 states/eV per atom
ΔE_f: -32 meV/atom
Magnetization: 2.84 μB per formula unit
Space-group type: Pmm2 (25)
DFT total energy: -15.82 eV per atom

---

First-principles (SCAN) data for ZnCoNi at its PBEsol-relaxed geometry, as listed in Alexandria via LeMat-Bulk.

POSCAR file:
```
ZnCoNi
1.0
-1.2607 1.2607 5.2570
1.2607 -1.2607 5.2570
1.2607 1.2607 -5.2570
Zn Co Ni
1 1 1
Direct
0.0000 0.0000 0.0000
0.3255 0.3255 0.0000
0.6722 0.6722 0.0000
```

Results
DOS(E_F): 0.841 states/eV per atom
ΔE_f: -26 meV/atom
Magnetization: 2.10 μB per formula unit
Space-group type: I4mm (107)
Relative energy among the computed polymorphs: 0 kJ/mol of formula units
DFT total energy: -15.69 eV per atom

---

First-principles (SCAN) data for ZnCoNi at its PBEsol-relaxed geometry, as listed in Alexandria via LeMat-Bulk.

POSCAR file:
```
ZnCoNi
1.0
2.5220 0.0000 0.0000
-1.2610 2.1841 0.0000
0.0000 0.0000 6.0784
Zn Co Ni
1 1 1
Direct
0.0000 0.0000 0.0000
0.3333 0.6667 0.6561
0.6667 0.3333 0.3398
```

Results
DOS(E_F): 0.980 states/eV per atom
ΔE_f: 27 meV/atom
Magnetization: 2.30 μB per formula unit
Space-group type: P3m1 (156)
Relative energy among the computed polymorphs: 15 kJ/mol of formula units
DFT total energy: -15.64 eV per atom

---

First-principles (SCAN) data for Zr2CoNi at its PBEsol-relaxed geometry, as listed in Alexandria via LeMat-Bulk.

POSCAR file:
```
Zr2CoNi
1.0
0.0000 3.1509 3.1509
3.1509 0.0000 3.1509
3.1509 3.1509 0.0000
Zr Co Ni
2 1 1
Direct
0.2500 0.2500 0.2500
0.7500 0.7500 0.7500
0.0000 0.0000 0.0000
0.5000 0.5000 0.5000
```

Results
DOS(E_F): 0.776 states/eV per atom
ΔE_f: -371 meV/atom
Magnetization: 0.24 μB per formula unit
Space-group type: Fm-3m (225)
Relative energy among the computed polymorphs: 12 kJ/mol of formula units
DFT total energy: -24.09 eV per atom

---

First-principles (SCAN) data for Zr2CoNi at its PBEsol-relaxed geometry, as listed in Alexandria via LeMat-Bulk.

POSCAR file:
```
Zr2CoNi
1.0
3.1392 0.0000 0.0000
0.0000 3.1392 0.0000
0.0000 0.0000 6.3435
Zr Co Ni
2 1 1
Direct
0.0000 0.0000 0.2466
0.0000 0.0000 0.7534
0.5000 0.5000 0.0000
0.5000 0.5000 0.5000
```

Results
DOS(E_F): 1.090 states/eV per atom
ΔE_f: -278 meV/atom
Magnetization: 0.00 μB per formula unit
Space-group type: P4/mmm (123)
Relative energy among the computed polymorphs: 47 kJ/mol of formula units
DFT total energy: -24.00 eV per atom

---

First-principles (SCAN) data for Zr2CoNi at its PBEsol-relaxed geometry, as listed in Alexandria via LeMat-Bulk.

POSCAR file:
```
Zr2CoNi
1.0
3.3073 0.0000 0.0000
0.0000 3.3073 0.0000
0.0000 0.0000 5.8440
Zr Co Ni
2 1 1
Direct
0.0000 0.0000 0.0000
0.5000 0.5000 0.3587
0.0000 0.0000 0.5501
0.5000 0.5000 0.8072
```

Results
DOS(E_F): 1.263 states/eV per atom
ΔE_f: -42 meV/atom
Magnetization: 0.00 μB per formula unit
Space-group type: P4mm (99)
Relative energy among the computed polymorphs: 138 kJ/mol of formula units
DFT total energy: -23.76 eV per atom

---

First-principles (SCAN) data for Zr2CoNi at its PBEsol-relaxed geometry, as listed in Alexandria via LeMat-Bulk.

POSCAR file:
```
Zr2CoNi
1.0
4.0324 0.0000 0.0000
0.0000 1.6216 4.8516
0.0000 -1.6216 4.8516
Zr Co Ni
2 1 1
Direct
0.0000 0.0000 0.0000
0.5000 0.2802 0.2802
0.5000 0.5531 0.5531
0.0000 0.7220 0.7220
```

Results
DOS(E_F): 0.824 states/eV per atom
ΔE_f: -401 meV/atom
Magnetization: 0.21 μB per formula unit
Space-group type: Amm2 (38)
Relative energy among the computed polymorphs: 0 kJ/mol of formula units
DFT total energy: -24.12 eV per atom

---

First-principles (SCAN) data for ZrCoNi at its PBEsol-relaxed geometry, as listed in Alexandria via LeMat-Bulk.

POSCAR file:
```
ZrCoNi
1.0
-2.3948 2.4303 3.4196
2.3948 -2.4303 3.4196
2.3948 2.4303 -3.4196
Zr Co Ni
2 2 2
Direct
0.3767 0.1267 0.2500
0.6233 0.8733 0.7500
0.0000 0.5000 0.5000
0.5000 0.5000 0.0000
0.0000 0.0000 0.5000
0.0000 0.5000 0.0000
```

Results
DOS(E_F): 1.146 states/eV per atom
ΔE_f: -311 meV/atom
Magnetization: 0.00 μB per formula unit
Space-group type: Imma (74)
DFT total energy: -21.70 eV per atom

---

First-principles (SCAN) data for Zr2CoNi at its PBEsol-relaxed geometry, as listed in Alexandria via LeMat-Bulk.

POSCAR file:
```
Zr2CoNi
1.0
1.6898 0.9756 6.7406
-1.6898 0.9756 6.7406
0.0000 -1.9513 6.7406
Zr Co Ni
2 1 1
Direct
0.2472 0.2472 0.2472
0.7528 0.7528 0.7528
0.5000 0.5000 0.5000
0.0000 0.0000 0.0000
```

Results
DOS(E_F): 0.643 states/eV per atom
ΔE_f: -35 meV/atom
Magnetization: 0.00 μB per formula unit
Space-group type: R-3m (166)
Relative energy among the computed polymorphs: 141 kJ/mol of formula units
DFT total energy: -23.75 eV per atom

---

First-principles (SCAN) data for Zr2CoNi at its PBEsol-relaxed geometry, as listed in Alexandria via LeMat-Bulk.

POSCAR file:
```
Zr2CoNi
1.0
3.2463 -4.0221 0.0000
3.2463 4.0221 0.0000
-1.6027 0.0000 4.8561
Zr Co Ni
4 2 2
Direct
0.0000 0.0000 0.0000
0.3806 0.9015 0.5560
0.5039 0.5039 0.9913
0.9015 0.3806 0.5560
0.0297 0.5264 0.1021
0.5264 0.0297 0.1021
0.3805 0.3805 0.4396
0.8442 0.8442 0.4419
```

Results
DOS(E_F): 0.844 states/eV per atom
ΔE_f: -396 meV/atom
Magnetization: 0.00 μB per formula unit
Space-group type: Cm (8)
Relative energy among the computed polymorphs: 2 kJ/mol of formula units
DFT total energy: -24.12 eV per atom